(1)
VI | PBE-GGA | relaxed

a = 11.665 Å, b = 11.665 Å, c = 3.471 Å
α = 90.00°, β = 90.00°, γ = 90.00°
Fractional positions:
V: 0.191 0.708 0.000
V: 0.208 0.309 0.500
V: 0.292 0.191 0.000
V: 0.309 0.792 0.500
V: 0.691 0.208 0.500
V: 0.708 0.809 0.000
V: 0.792 0.691 0.500
V: 0.809 0.292 0.000
I: 0.044 0.241 0.000
I: 0.241 0.956 0.000
I: 0.259 0.544 0.500
I: 0.456 0.259 0.500
I: 0.544 0.741 0.500
I: 0.741 0.456 0.500
I: 0.759 0.044 0.000
I: 0.956 0.759 0.000

Properties
Offset from the most stable computed form, meV/atom: 431

---

(2)
VI | PBE-GGA | relaxed

a = 7.294 Å, b = 7.656 Å, c = 7.907 Å
α = 90.00°, β = 90.00°, γ = 90.00°
Fractional positions:
V: 0.005 0.194 0.278
V: 0.226 0.243 0.399
V: 0.274 0.757 0.899
V: 0.495 0.806 0.778
V: 0.505 0.306 0.722
V: 0.726 0.257 0.601
V: 0.774 0.743 0.101
V: 0.995 0.694 0.222
I: 0.219 0.065 0.709
I: 0.223 0.429 0.084
I: 0.277 0.571 0.584
I: 0.281 0.935 0.209
I: 0.719 0.435 0.291
I: 0.723 0.071 0.916
I: 0.777 0.929 0.416
I: 0.781 0.565 0.791

Properties
Offset from the most stable computed form, meV/atom: 360

---

(3)
VI | PBE-GGA | relaxed

a = 6.428 Å, b = 6.428 Å, c = 6.428 Å
α = 90.00°, β = 90.00°, γ = 90.00°
Fractional positions:
V: 0.000 0.000 0.000
V: 0.000 0.500 0.500
V: 0.500 0.000 0.500
V: 0.500 0.500 0.000
I: 0.250 0.250 0.750
I: 0.250 0.750 0.250
I: 0.750 0.250 0.250
I: 0.750 0.750 0.750

Properties
Offset from the most stable computed form, meV/atom: 647

---

(4)
VI | PBE-GGA | relaxed

a = 6.798 Å, b = 6.772 Å, c = 6.689 Å
α = 60.66°, β = 60.28°, γ = 59.07°
Fractional positions:
V: 0.028 0.028 0.222
V: 0.222 0.222 0.028
V: 0.778 0.778 0.972
V: 0.972 0.972 0.778
I: 0.156 0.594 0.594
I: 0.406 0.844 0.844
I: 0.594 0.156 0.156
I: 0.844 0.406 0.406

Properties
Offset from the most stable computed form, meV/atom: 370

---

(5)
VI | PBE-GGA | relaxed

a = 3.420 Å, b = 3.420 Å, c = 8.831 Å
α = 90.00°, β = 90.00°, γ = 120.00°
Fractional positions:
V: 0.333 0.667 0.000
V: 0.667 0.333 0.500
I: 0.333 0.667 0.304
I: 0.667 0.333 0.804

Properties
Offset from the most stable computed form, meV/atom: 721

---

(6)
VI | PBE-GGA | relaxed

a = 12.197 Å, b = 12.197 Å, c = 3.698 Å
α = 90.00°, β = 90.00°, γ = 90.00°
Fractional positions:
V: 0.058 0.565 0.000
V: 0.087 0.418 0.500
V: 0.418 0.913 0.500
V: 0.435 0.058 0.000
V: 0.565 0.942 0.000
V: 0.582 0.087 0.500
V: 0.913 0.582 0.500
V: 0.942 0.435 0.000
I: 0.072 0.248 0.000
I: 0.242 0.574 0.500
I: 0.248 0.928 0.000
I: 0.426 0.242 0.500
I: 0.574 0.758 0.500
I: 0.752 0.072 0.000
I: 0.758 0.426 0.500
I: 0.928 0.752 0.000

Properties
Offset from the most stable computed form, meV/atom: 0

---

(7)
VI | PBE-GGA | relaxed

a = 8.399 Å, b = 8.399 Å, c = 8.399 Å
α = 90.00°, β = 90.00°, γ = 90.00°
Fractional positions:
V: 0.098 0.098 0.098
V: 0.098 0.902 0.902
V: 0.402 0.402 0.598
V: 0.402 0.598 0.402
V: 0.598 0.402 0.402
V: 0.598 0.598 0.598
V: 0.902 0.098 0.902
V: 0.902 0.902 0.098
I: 0.203 0.203 0.797
I: 0.203 0.797 0.203
I: 0.297 0.297 0.297
I: 0.297 0.703 0.703
I: 0.703 0.297 0.703
I: 0.703 0.703 0.297
I: 0.797 0.203 0.203
I: 0.797 0.797 0.797

Properties
Offset from the most stable computed form, meV/atom: 263

---

(8)
VI | PBE-GGA | relaxed

a = 10.987 Å, b = 10.987 Å, c = 3.560 Å
α = 90.00°, β = 90.00°, γ = 120.00°
Fractional positions:
V: 0.039 0.454 0.250
V: 0.415 0.961 0.250
V: 0.454 0.415 0.750
V: 0.546 0.585 0.250
V: 0.585 0.039 0.750
V: 0.961 0.546 0.750
I: 0.143 0.738 0.250
I: 0.262 0.405 0.250
I: 0.405 0.143 0.750
I: 0.595 0.857 0.250
I: 0.738 0.595 0.750
I: 0.857 0.262 0.750

Properties
Offset from the most stable computed form, meV/atom: 403

---

(9)
VI | PBE-GGA | relaxed

a = 3.607 Å, b = 11.884 Å, c = 7.352 Å
α = 90.00°, β = 90.00°, γ = 90.00°
Fractional positions:
V: 0.000 0.000 0.000
V: 0.000 0.500 0.500
V: 0.500 0.160 0.026
V: 0.500 0.340 0.526
V: 0.500 0.660 0.526
V: 0.500 0.840 0.026
I: 0.000 0.177 0.738
I: 0.000 0.323 0.238
I: 0.000 0.677 0.238
I: 0.000 0.823 0.738
I: 0.500 0.000 0.291
I: 0.500 0.500 0.791

Properties
Offset from the most stable computed form, meV/atom: 336

---

(10)
V4I | PBE-GGA | relaxed

a = 4.774 Å, b = 4.774 Å, c = 4.774 Å
α = 90.00°, β = 90.00°, γ = 90.00°
Fractional positions:
V: 0.000 0.000 0.000
V: 0.000 0.500 0.500
V: 0.500 0.000 0.500
V: 0.500 0.500 0.000
I: 0.500 0.500 0.500

---

(11)
VI | PBE-GGA | relaxed

a = 5.924 Å, b = 5.924 Å, c = 5.924 Å
α = 90.00°, β = 90.00°, γ = 90.00°
Fractional positions:
V: 0.000 0.000 0.000
V: 0.000 0.500 0.500
V: 0.500 0.000 0.500
V: 0.500 0.500 0.000
I: 0.000 0.000 0.500
I: 0.000 0.500 0.000
I: 0.500 0.000 0.000
I: 0.500 0.500 0.500

Properties
Offset from the most stable computed form, meV/atom: 626

---

(12)
VI | PBE-GGA | relaxed

a = 3.617 Å, b = 3.473 Å, c = 8.207 Å
α = 90.00°, β = 94.43°, γ = 90.00°
Fractional positions:
V: 0.201 0.250 0.440
V: 0.799 0.750 0.560
I: 0.161 0.250 0.775
I: 0.839 0.750 0.225

Properties
Offset from the most stable computed form, meV/atom: 293

---

(13)
VW2I | PBE-GGA | relaxed

a = 6.469 Å, b = 6.469 Å, c = 6.469 Å
α = 90.00°, β = 90.00°, γ = 90.00°
Fractional positions:
V: 0.000 0.000 0.000
V: 0.000 0.500 0.500
V: 0.500 0.000 0.500
V: 0.500 0.500 0.000
W: 0.250 0.250 0.250
W: 0.250 0.250 0.750
W: 0.250 0.750 0.250
W: 0.250 0.750 0.750
W: 0.750 0.250 0.250
W: 0.750 0.250 0.750
W: 0.750 0.750 0.250
W: 0.750 0.750 0.750
I: 0.000 0.000 0.500
I: 0.000 0.500 0.000
I: 0.500 0.000 0.000
I: 0.500 0.500 0.500

Properties
Offset from the most stable computed form, meV/atom: 0

---

(14)
VW2I | PBE-GGA | relaxed

a = 3.805 Å, b = 3.805 Å, c = 20.845 Å
α = 90.00°, β = 90.00°, γ = 90.00°
Fractional positions:
V: 0.000 0.000 0.000
V: 0.000 0.500 0.250
V: 0.500 0.000 0.750
V: 0.500 0.500 0.500
W: 0.240 0.250 0.125
W: 0.250 0.740 0.375
W: 0.250 0.760 0.875
W: 0.260 0.250 0.625
W: 0.740 0.750 0.625
W: 0.750 0.240 0.875
W: 0.750 0.260 0.375
W: 0.760 0.750 0.125
I: 0.000 0.000 0.500
I: 0.000 0.500 0.750
I: 0.500 0.000 0.250
I: 0.500 0.500 0.000

Properties
Offset from the most stable computed form, meV/atom: 152

---

(15)
YVI2 | PBE-GGA | relaxed

a = 5.274 Å, b = 5.274 Å, c = 18.450 Å
α = 90.00°, β = 90.00°, γ = 90.00°
Fractional positions:
Y: 0.000 0.000 0.000
Y: 0.000 0.500 0.250
Y: 0.500 0.000 0.750
Y: 0.500 0.500 0.500
V: 0.000 0.000 0.500
V: 0.000 0.500 0.750
V: 0.500 0.000 0.250
V: 0.500 0.500 0.000
I: 0.232 0.250 0.625
I: 0.250 0.732 0.875
I: 0.250 0.768 0.375
I: 0.268 0.250 0.125
I: 0.732 0.750 0.125
I: 0.750 0.232 0.375
I: 0.750 0.268 0.875
I: 0.768 0.750 0.625

Properties
Offset from the most stable computed form, meV/atom: 29

---

(16)
YV3I | PBE-GGA | relaxed

a = 4.830 Å, b = 4.830 Å, c = 4.830 Å
α = 90.00°, β = 90.00°, γ = 90.00°
Fractional positions:
Y: 0.000 0.000 0.000
V: 0.000 0.500 0.500
V: 0.500 0.000 0.500
V: 0.500 0.500 0.000
I: 0.500 0.500 0.500

Properties
Offset from the most stable computed form, meV/atom: 0

---

(17)
YV2I | PBE-GGA | relaxed

a = 8.032 Å, b = 8.032 Å, c = 5.921 Å
α = 90.00°, β = 90.00°, γ = 90.00°
Fractional positions:
Y: 0.000 0.000 0.000
Y: 0.000 0.500 0.250
Y: 0.500 0.000 0.750
Y: 0.500 0.500 0.500
V: 0.191 0.250 0.625
V: 0.250 0.691 0.875
V: 0.250 0.809 0.375
V: 0.309 0.250 0.125
V: 0.691 0.750 0.125
V: 0.750 0.191 0.375
V: 0.750 0.309 0.875
V: 0.809 0.750 0.625
I: 0.000 0.000 0.500
I: 0.000 0.500 0.750
I: 0.500 0.000 0.250
I: 0.500 0.500 0.000

Properties
Offset from the most stable computed form, meV/atom: 59

---

(18)
YV3I | PBE-GGA | relaxed

a = 5.048 Å, b = 5.048 Å, c = 5.048 Å
α = 90.00°, β = 90.00°, γ = 90.00°
Fractional positions:
Y: 0.000 0.000 0.000
V: 0.000 0.000 0.500
V: 0.000 0.500 0.000
V: 0.500 0.000 0.000
I: 0.500 0.500 0.500

Properties
Offset from the most stable computed form, meV/atom: 867

---

(19)
YVI3 | PBE-GGA | relaxed

a = 6.010 Å, b = 6.010 Å, c = 6.010 Å
α = 90.00°, β = 90.00°, γ = 90.00°
Fractional positions:
Y: 0.000 0.000 0.000
V: 0.500 0.500 0.500
I: 0.000 0.000 0.500
I: 0.000 0.500 0.000
I: 0.500 0.000 0.000

Properties
Offset from the most stable computed form, meV/atom: 0

---

(20)
YVI2 | PBE-GGA | relaxed

a = 7.425 Å, b = 7.425 Å, c = 7.425 Å
α = 90.00°, β = 90.00°, γ = 90.00°
Fractional positions:
Y: 0.000 0.000 0.000
Y: 0.000 0.500 0.500
Y: 0.500 0.000 0.500
Y: 0.500 0.500 0.000
V: 0.000 0.000 0.500
V: 0.000 0.500 0.000
V: 0.500 0.000 0.000
V: 0.500 0.500 0.500
I: 0.250 0.250 0.250
I: 0.250 0.250 0.750
I: 0.250 0.750 0.250
I: 0.250 0.750 0.750
I: 0.750 0.250 0.250
I: 0.750 0.250 0.750
I: 0.750 0.750 0.250
I: 0.750 0.750 0.750

Properties
Offset from the most stable computed form, meV/atom: 0

---

(21)
YV2I | PBE-GGA | relaxed

a = 6.843 Å, b = 6.843 Å, c = 6.843 Å
α = 90.00°, β = 90.00°, γ = 90.00°
Fractional positions:
Y: 0.000 0.000 0.000
Y: 0.000 0.500 0.500
Y: 0.500 0.000 0.500
Y: 0.500 0.500 0.000
V: 0.250 0.250 0.250
V: 0.250 0.250 0.750
V: 0.250 0.750 0.250
V: 0.250 0.750 0.750
V: 0.750 0.250 0.250
V: 0.750 0.250 0.750
V: 0.750 0.750 0.250
V: 0.750 0.750 0.750
I: 0.000 0.000 0.500
I: 0.000 0.500 0.000
I: 0.500 0.000 0.000
I: 0.500 0.500 0.500

Properties
Offset from the most stable computed form, meV/atom: 0

---

(22)
Y3VI | PBE-GGA | relaxed

a = 5.391 Å, b = 5.391 Å, c = 5.391 Å
α = 90.00°, β = 90.00°, γ = 90.00°
Fractional positions:
Y: 0.000 0.000 0.500
Y: 0.000 0.500 0.000
Y: 0.500 0.000 0.000
V: 0.000 0.000 0.000
I: 0.500 0.500 0.500

Properties
Offset from the most stable computed form, meV/atom: 0

---

(23)
VZn2I6 | PBE-GGA | relaxed

a = 9.603 Å, b = 9.603 Å, c = 8.912 Å
α = 108.24°, β = 108.24°, γ = 24.67°
Fractional positions:
V: 0.000 0.000 0.000
Zn: 0.331 0.331 0.665
Zn: 0.669 0.669 0.335
I: 0.159 0.159 0.102
I: 0.172 0.172 0.565
I: 0.494 0.494 0.777
I: 0.506 0.506 0.223
I: 0.828 0.828 0.435
I: 0.841 0.841 0.898

---

| no. | size of the total moment (μB/cell) | formation energy (no corrections) (eV/atom) |
| --- | --- | --- |
| 1 | 0.0 | 0.37 |
| 2 | 0.1 | 0.30 |
| 3 | 16.0 | 0.59 |
| 4 | 0.0 | 0.31 |
| 5 | 0.0 | 0.66 |
| 6 | 0.0 | -0.06 |
| 7 | 4.1 | 0.20 |
| 8 | 0.0 | 0.35 |
| 9 | 7.5 | 0.28 |
| 10 | 1.2 | 1.73 |
| 11 | 15.7 | 0.57 |
| 12 | 0.0 | 0.23 |
| 13 | 1.8 | 1.11 |
| 14 | 7.2 | 1.26 |
| 15 | 17.0 | 0.06 |
| 16 | 1.4 | 1.17 |
| 17 | 17.9 | 0.83 |
| 18 | 7.2 | 2.03 |
| 19 | 4.9 | -0.05 |
| 20 | 13.7 | 0.03 |
| 21 | 18.0 | 0.77 |
| 22 | 0.0 | 0.35 |
| 23 | 3.0 | -0.47 |